Material: CrBiNF2
Method: DFT, PBE with a Hubbard U
State: optimized geometry

a = 4.5387 Å, b = 4.5387 Å, c = 4.4553 Å
α = 90.00°, β = 90.00°, γ = 90.00°
Site moments in Bohr magnetons follow the coordinates.
Sites, in units of the cell vectors:
Cr: 0.5000 0.5000 0.5000  4.48
N: 0.0000 0.0000 0.5000  -0.33
Bi: 0.0000 0.0000 0.0000  -0.08
F: 0.0000 0.5000 0.0000  0.01
F: 0.5000 0.0000 0.0000  0.01

calculated density	5.66	Mg/m³
space group	No. 123
E	-5.14	eV per atom